[1]
The following is a DFT calculation (SCAN) of Li4MoPt at its PBEsol-relaxed geometry.

For the total energy, the calculation gives -1.392 Ry per atom. The formation energy comes out at 95 kJ/mol of formula units.

a = 4.7425 Å, b = 4.7425 Å, c = 4.7425 Å
α = 60.00°, β = 60.00°, γ = 60.00°
With the nearest neighbours (Å) after each atom.
Positions (direct):
Li 0.3737 0.3737 0.3737  6 Li 2.35-2.40
Li 0.3737 0.3737 0.8788  6 Li 2.35-2.40
Li 0.8788 0.3737 0.3737  6 Li 2.35-2.40
Li 0.3737 0.8788 0.3737  6 Li 2.35-2.40
Mo 0.7500 0.7500 0.7500  12 Li 2.78, 4 Pt 2.90
Pt 0.0000 0.0000 0.0000  12 Li 2.78, 4 Mo 2.90

=====

[2]
The following is a DFT calculation (SCAN) of PPbW2Se at its PBEsol-relaxed geometry.

For the total energy, the calculation gives -3.472 Ry per atom. The formation energy without anion corrections comes out at 9.46 eV per formula unit.

a = 4.6729 Å, b = 4.6729 Å, c = 4.7519 Å
α = 90.00°, β = 90.00°, γ = 90.00°
With the nearest neighbours (Å) after each atom.
Positions (direct):
Pb 0.5000 0.5000 0.5000  4 P 3.30, 8 W 3.33
P 0.0000 0.0000 0.5000  2 Se 2.38
Se 0.0000 0.0000 0.0000  4 W 2.34, 2 P 2.38
W 0.0000 0.5000 0.0000  2 Se 2.34
W 0.5000 0.0000 0.0000  2 Se 2.34

=====

[3]
The following is a DFT calculation (SCAN) of Sc2CrC3 at its PBEsol-relaxed geometry.

For the total energy, the calculation gives -0.981 Ry per atom. The formation energy comes out at -284 kJ/mol of formula units.

a = 3.2407 Å, b = 5.7266 Å, c = 13.9725 Å
α = 90.00°, β = 90.00°, γ = 90.00°
With the nearest neighbours (Å) after each atom.
Positions (direct):
Sc 0.0000 0.3758 0.8124  7 C 2.19-2.44
Sc 0.0000 0.6242 0.1876  7 C 2.19-2.44
Sc 0.0000 0.8758 0.6876  7 C 2.19-2.44
Sc 0.0000 0.1242 0.3124  7 C 2.19-2.44
Sc 0.5000 0.5000 0.0000  4 C 2.32
Sc 0.0000 0.0000 0.0000  6 C 2.24-2.43
Sc 0.5000 0.0000 0.5000  4 C 2.32
Sc 0.0000 0.5000 0.5000  6 C 2.24-2.43
Cr 0.5000 0.7988 0.8464  5 C 1.95-2.06
Cr 0.5000 0.2012 0.1536  5 C 1.95-2.06
Cr 0.5000 0.2988 0.6536  5 C 1.95-2.06
Cr 0.5000 0.7012 0.3464  5 C 1.95-2.06
C 0.0000 0.3195 0.0925  2 Cr 1.95
C 0.0000 0.1805 0.5925  2 Cr 1.95
C 0.0000 0.6805 0.9075  2 Cr 1.95
C 0.5000 0.6057 0.7220  1 C 1.48
C 0.0000 0.8195 0.4075  2 Cr 1.95
C 0.5000 0.1057 0.7780  1 C 1.48
C 0.5000 0.3629 0.3829  1 C 1.48
C 0.5000 0.1371 0.8829  1 C 1.48
C 0.5000 0.8629 0.1171  1 C 1.48
C 0.5000 0.8943 0.2220  1 C 1.48
C 0.5000 0.3943 0.2780  1 C 1.48
C 0.5000 0.6371 0.6171  1 C 1.48

=====

[4]
The following is a DFT calculation (SCAN) of MgAsPt5 at its PBEsol-relaxed geometry.

For the total energy, the calculation gives -3.993 Ry per atom. The formation energy comes out at -403 kJ/mol of formula units.

a = 3.9355 Å, b = 3.9355 Å, c = 7.0734 Å
α = 90.00°, β = 90.00°, γ = 90.00°
With the nearest neighbours (Å) after each atom.
Positions (direct):
As 0.5000 0.5000 0.5000  8 Pt 2.51
Mg 0.0000 0.0000 0.0000  12 Pt 2.78-2.79
Pt 0.5000 0.5000 0.0000  4 Mg 2.78, 8 Pt 2.79
Pt 0.0000 0.5000 0.2793  2 As 2.51, 6 Pt 2.78-2.79, 2 Mg 2.79
Pt 0.5000 0.0000 0.2793  2 As 2.51, 6 Pt 2.78-2.79, 2 Mg 2.79
Pt 0.0000 0.5000 0.7207  2 As 2.51, 6 Pt 2.78-2.79, 2 Mg 2.79
Pt 0.5000 0.0000 0.7207  2 As 2.51, 6 Pt 2.78-2.79, 2 Mg 2.79

=====

[5]
The following is a DFT calculation (SCAN) of NaCu3As at its PBEsol-relaxed geometry.

For the total energy, the calculation gives -0.930 Ry per atom. The formation energy comes out at 653 kJ/mol of formula units.

a = 4.4190 Å, b = 4.4190 Å, c = 4.4190 Å
α = 90.00°, β = 90.00°, γ = 90.00°
With the nearest neighbours (Å) after each atom.
Positions (direct):
Na 0.0000 0.0000 0.0000  6 Cu 2.21
As 0.5000 0.5000 0.5000  12 Cu 3.12
Cu 0.0000 0.5000 0.0000  2 Na 2.21
Cu 0.0000 0.0000 0.5000  2 Na 2.21
Cu 0.5000 0.0000 0.0000  2 Na 2.21

=====

[6]
The following is a DFT calculation (SCAN) of ZnIrOs at its PBEsol-relaxed geometry.

For the total energy, the calculation gives -3.826 Ry per atom. The formation energy comes out at 31 kJ/mol of formula units.

a = 2.7325 Å, b = 3.8040 Å, c = 4.6028 Å
α = 114.41°, β = 107.27°, γ = 90.00°
With the nearest neighbours (Å) after each atom.
Positions (direct):
Ir 0.0013 0.0013 0.0027  5 Zn 2.63-2.69, 5 Os 2.66-2.68, 2 Ir 2.73
Os 0.6654 0.6654 0.3308  5 Zn 2.63-2.69, 5 Ir 2.66-2.68, 2 Os 2.73
Zn 0.3333 0.3333 0.6665  5 Ir 2.63-2.69, 5 Os 2.63-2.69, 2 Zn 2.73

=====

[7]
The following is a DFT calculation (SCAN) of CrCoCu2Te at its PBEsol-relaxed geometry.

For the total energy, the calculation gives -1.434 Ry per atom. The formation energy without anion corrections comes out at 5.75 eV per formula unit.

a = 4.1215 Å, b = 4.5299 Å, c = 4.5299 Å
α = 90.00°, β = 90.00°, γ = 90.00°
With the nearest neighbours (Å) after each atom.
Positions (direct):
Cr 0.0000 0.0000 0.0000  2 Co 2.06, 4 Cu 2.26
Te 0.5000 0.5000 0.5000  8 Cu 3.06, 4 Co 3.20
Co 0.5000 0.0000 0.0000  2 Cr 2.06
Cu 0.0000 0.0000 0.5000  2 Cr 2.26
Cu 0.0000 0.5000 0.0000  2 Cr 2.26

=====

[8]
The following is a DFT calculation (SCAN) of AlZnCl2 at its PBEsol-relaxed geometry.

For the total energy, the calculation gives -0.679 Ry per atom. The formation energy without anion corrections comes out at 0.28 eV per formula unit.

a = 4.8156 Å, b = 4.8156 Å, c = 4.8156 Å
α = 60.00°, β = 60.00°, γ = 60.00°
With the nearest neighbours (Å) after each atom.
Positions (direct):
Zn 0.2500 0.2500 0.2500  4 Al 2.95, 4 Cl 2.95
Al 0.5000 0.5000 0.5000  4 Cl 2.95, 4 Zn 2.95
Cl 0.0000 0.0000 0.0000  4 Zn 2.95, 4 Cl 2.95
Cl 0.7500 0.7500 0.7500  4 Cl 2.95, 4 Al 2.95

=====

[9]
The following is a DFT calculation (SCAN) of Y5Co at its PBEsol-relaxed geometry.

For the total energy, the calculation gives -1.919 Ry per atom. The formation energy comes out at -13 kJ/mol of formula units.

a = 3.5107 Å, b = 6.1571 Å, c = 8.2077 Å
α = 109.83°, β = 90.00°, γ = 106.56°
With the nearest neighbours (Å) after each atom.
Positions (direct):
Y 0.5980 0.1961 0.8229  2 Co 2.71
Y 0.3030 0.6059 0.6518  2 Co 3.07, 2 Y 3.25-3.26
Y 0.9722 0.9444 0.4445  12 Y 3.42-3.67
Y 0.6415 0.2830 0.2371  2 Co 3.07, 2 Y 3.25-3.26
Y 0.3464 0.6929 0.0660  2 Co 2.71
Co 0.9722 0.9445 0.9444  4 Y 2.71